Entry 1:
# CdSiPd3

A relaxed structure of CdSiPd3 (GGA-PBE, the Alexandria database).

Energy relative to the elements, uncorrected   -0.4307 eV per atom
Size of the total moment   0.000 μB per formula unit

Cell lengths 5.602, 5.684, 7.383 Å; angles 60.98, 61.00, 59.51 degrees
Element x y z (fractional)
Pd: 0.106 0.157 0.235
Si: 0.028 0.131 0.585
Pd: 0.083 0.594 0.353
Cd: 0.510 0.600 0.443
Cd: 0.545 0.741 0.945
Pd: 0.545 0.048 0.489
Pd: 0.099 0.314 0.800
Pd: 0.577 0.271 0.868
Pd: 0.064 0.741 0.912
Si: 0.828 0.053 0.131

Entry 2:
# SmDyAsSe

A relaxed structure of SmDyAsSe (GGA-PBE, the Alexandria database).

Energy relative to the elements, uncorrected   -1.7197 eV per atom
Size of the total moment   0.000 μB per formula unit

Cell lengths 4.141, 4.141, 7.221 Å; angles 73.34, 73.34, 60.00 degrees
Element x y z (fractional)
Sm: 0.940 0.940 0.180
Dy: 0.448 0.448 0.656
As: 0.192 0.192 0.425
Se: 0.696 0.696 0.911

Entry 3:
# Sb6Cl

A relaxed structure of Sb6Cl (GGA-PBE, the Alexandria database).

Energy relative to the elements, uncorrected   0.1837 eV per atom
Size of the total moment   0.000 μB per formula unit

Cell lengths 7.255, 7.255, 7.255 Å; angles 109.47, 109.47, 109.47 degrees
Element x y z (fractional)
Sb: 0.500 0.750 0.250
Sb: 0.750 0.500 0.250
Cl: 0.000 0.000 0.000
Sb: 0.250 0.750 0.500
Sb: 0.750 0.250 0.500
Sb: 0.250 0.500 0.750
Sb: 0.500 0.250 0.750

Entry 4:
# Ag4Au3

A relaxed structure of Ag4Au3 (GGA-PBE, the Alexandria database).

Size of the total moment   0.000 μB per formula unit
E_form   0.010 eV per atom

Cell lengths 2.864, 7.154, 7.577 Å; angles 121.63, 100.89, 90.00 degrees
Element x y z (fractional)
Ag: 0.366 0.132 0.732
Ag: 0.921 0.546 0.843
Ag: 0.079 0.454 0.157
Ag: 0.634 0.868 0.268
Au: 0.223 0.292 0.446
Au: 0.777 0.708 0.554
Au: 0.000 0.000 0.000

Entry 5:
# Si2NiAu

A relaxed structure of Si2NiAu (GGA-PBE, the Alexandria database).

Energy relative to the elements, uncorrected   0.0534 eV per atom
Size of the total moment   0.000 μB per formula unit

Cell lengths 7.533, 7.533, 7.533 Å; angles 23.33, 23.33, 23.33 degrees
Element x y z (fractional)
Ni: 0.739 0.739 0.739
Au: 0.502 0.502 0.502
Si: 0.255 0.255 0.255
Si: 0.005 0.005 0.005

Entry 6:
# TmSc6Cd

A relaxed structure of TmSc6Cd (GGA-PBE, the Alexandria database).

Size of the total moment   0.040 μB per formula unit
E_form   0.124 eV per atom

Cell lengths 6.159, 6.159, 8.636 Å; angles 110.52, 110.52, 120.65 degrees
Element x y z (fractional)
Sc: 0.763 0.320 0.751
Cd: 0.000 0.000 0.000
Sc: 0.320 0.763 0.751
Tm: 0.500 0.500 0.500
Sc: 0.198 0.198 0.751
Sc: 0.680 0.237 0.249
Sc: 0.802 0.802 0.249
Sc: 0.237 0.680 0.249

Entry 7:
# ScB2Te2

A relaxed structure of ScB2Te2 (GGA-PBE, the Alexandria database).

Energy relative to the elements, uncorrected   0.3578 eV per atom
Size of the total moment   0.000 μB per formula unit

Cell lengths 5.087, 5.087, 4.992 Å; angles 59.37, 59.37, 90.00 degrees
Element x y z (fractional)
Te: 0.250 0.750 0.500
B: 0.374 0.374 0.253
Te: 0.750 0.250 0.500
B: 0.626 0.626 0.747
Sc: 0.000 0.000 0.000

Entry 8:
# Tb5TmSc4

A relaxed structure of Tb5TmSc4 (GGA-PBE, the Alexandria database).

Size of the total moment   0.008 μB per formula unit
E_form   0.339 eV per atom

Cell lengths 6.143, 7.583, 7.583 Å; angles 80.56, 66.10, 66.10 degrees
Element x y z (fractional)
Tb: 0.804 0.392 0.903
Sc: 0.094 0.301 0.412
Sc: 0.506 0.588 0.301
Tb: 0.680 0.000 0.000
Sc: 0.395 0.412 0.699
Tm: 0.221 0.000 0.000
Sc: 0.807 0.699 0.588
Tb: 0.099 0.608 0.097
Tb: 0.196 0.903 0.608
Tb: 0.708 0.097 0.392

Number 1: electronic total energy -48.14 eV/cell, DOS(E_F) 0.3477 states/eV/atom. Number 2: electronic total energy -24.33 eV/cell, DOS(E_F) 0.3874 states/eV/atom. Number 3: electronic total energy -25.29 eV/cell, DOS(E_F) 0.4566 states/eV/atom. Number 4: electronic total energy -21.17 eV/cell, DOS(E_F) 0.3053 states/eV/atom. Number 5: electronic total energy -19.69 eV/cell, DOS(E_F) 0.6089 states/eV/atom. Number 6: electronic total energy -42.39 eV/cell, DOS(E_F) 1.8257 states/eV/atom. Number 7: electronic total energy -24.18 eV/cell, DOS(E_F) 0.5307 states/eV/atom. Number 8: electronic total energy -49.56 eV/cell, DOS(E_F) 1.5441 states/eV/atom.